1:
Here is a relaxed Na4BeAlSi4ClO12 crystal from the Alexandria database. Energies are from PBEsol.

a b c (Å): 8.7738 12.5316 12.4645
angles (deg): 90.00 90.11 90.00
With the nearest neighbours (Å) after each atom.
Space group Cc (No. 9)
Unique sites:
Na  0.0000  0.0531  0.0000 x4  3 O 2.31-2.52
Na  0.3359  0.2369  0.7987 x4  3 O 2.31-2.51
Na  0.3678  0.2649  0.1610 x4  3 O 2.34-2.44
Na  0.4733  0.0712  0.4859 x4  3 O 2.29-2.48
Be  0.1659  0.1221  0.6064 x4  4 O 1.62-1.63
Al  0.1748  0.3786  0.3629 x4  4 O 1.74-1.75
Si  0.1598  0.3670  0.6161 x4  4 O 1.59-1.65
Si  0.1688  0.1308  0.3596 x4  4 O 1.59-1.66
Si  0.4090  0.0016  0.7293 x4  4 O 1.59-1.65
Si  0.4236  0.4935  0.7379 x4  4 O 1.59-1.65
Cl  0.1649  0.2487  0.9866 x4  4 Na 2.79-2.85
O  0.0115  0.3978  0.6916 x4  2 Si 1.65
O  0.0166  0.4075  0.2831 x4  1 Si 1.62, 1 Al 1.74
O  0.0196  0.0821  0.6765 x4  1 Si 1.59, 1 Be 1.63
O  0.0216  0.1116  0.2785 x4  2 Si 1.65-1.66
O  0.1145  0.3999  0.4944 x4  1 Si 1.62, 1 Al 1.74
O  0.1206  0.1091  0.4806 x4  1 Si 1.59, 1 Be 1.62
O  0.1998  0.2453  0.6398 x4  1 Si 1.59, 1 Be 1.63
O  0.2327  0.2490  0.3311 x4  1 Si 1.62, 1 Al 1.75
O  0.3050  0.0450  0.3289 x4  2 Si 1.65
O  0.3049  0.4435  0.6484 x4  2 Si 1.64-1.65
O  0.3154  0.0489  0.6305 x4  1 Si 1.59, 1 Be 1.63
O  0.3332  0.4607  0.3417 x4  1 Si 1.62, 1 Al 1.75

Results
**Size of the total moment**: 0.000 μB per atom
**N(E_F)**: 0.00 states/eV/f.u.
**Theoretical density**: 2.27 g cm⁻³

2:
Here is a relaxed Na4BeAlSi4ClO12 crystal from the Alexandria database. Energies are from PBEsol.

a b c (Å): 8.6496 8.6496 8.9073
angles (deg): 90.00 90.00 90.00
With the nearest neighbours (Å) after each atom.
Space group I-4 (No. 82)
Unique sites:
Na  0.1535  0.3030  0.4312 x8  3 O 2.29-2.39
Be  0.0000  0.0000  0.5000 x2  4 O 1.63
Al  0.0000  0.0000  0.0000 x2  4 O 1.76
Si  0.0135  0.2461  0.7458 x8  4 O 1.60-1.66
Cl  0.0000  0.5000  0.2500 x2  4 Na 2.70
O  0.0401  0.8482  0.6010 x8  1 Si 1.60, 1 Be 1.63
O  0.0787  0.1477  0.8879 x8  1 Si 1.63, 1 Al 1.76
O  0.1333  0.6506  0.8101 x8  2 Si 1.66

Results
**Size of the total moment**: 0.000 μB per atom
**N(E_F)**: 0.00 states/eV/f.u.
**Theoretical density**: 2.33 g cm⁻³

Which one sits at the bottom of the stability order? 1 does.

1:
Here is a relaxed Be2AlCo2 crystal from the Alexandria database. Energies are from PBEsol.

a b c (Å): 5.9936 5.9936 2.6280
angles (deg): 90.00 90.00 90.00
With the nearest neighbours (Å) after each atom.
Space group P4/mbm (No. 127)
Unique sites:
Be  0.1213  0.3787  0.0000 x4  1 Be 2.06, 6 Co 2.19-2.22
Al  0.0000  0.0000  0.0000 x2  4 Be 2.38, 8 Co 2.58, 2 Al 2.63
Co  0.1723  0.6723  0.5000 x4  6 Be 2.19-2.22

Results
**Size of the total moment**: 0.000 μB per atom
**N(E_F)**: 2.91 states/eV/f.u.
**Theoretical density**: 5.73 g cm⁻³

2:
Here is a relaxed Be2AlCo2 crystal from the Alexandria database. Energies are from PBEsol.

a b c (Å): 6.0868 6.0868 2.6819
angles (deg): 90.00 90.00 90.00
With the nearest neighbours (Å) after each atom.
Space group P4/mbm (No. 127)
Unique sites:
Be  0.1425  0.3575  0.0000 x4  6 Co 2.23-2.24, 1 Be 2.45
Al  0.0000  0.0000  0.5000 x2  4 Co 2.32
Co  0.1493  0.6493  0.5000 x4  6 Be 2.23-2.24, 2 Al 2.32

Results
**Size of the total moment**: 0.000 μB per atom
**N(E_F)**: 2.82 states/eV/f.u.
**Theoretical density**: 5.44 g cm⁻³

Which one sits at the bottom of the stability order? 2 does.